(1)
Below is an optimized crystal structure of Rb2HgGe, with properties calculated at the PBE level.

Its offset from the most stable computed form is 147.4 kJ/mol of formula units. The density of states at the Fermi level comes out at 0.76 states/eV/atom. Its total energy is -23.9 eV per cell. The calculation puts the calculated formation energy at 217 meV per atom.

It has space group I-42d (No. 122), with a = 9.921 Å, b = 9.921 Å, c = 6.685 Å, α = 90.00°, β = 90.00° and γ = 90.00°. The distinct sites, in fractional coordinates, are Rb at (0.235, 0.250, 0.125), Hg at (0.000, 0.000, 0.500) and Ge at (0.000, 0.000, 0.000).


(2)
Below is an optimized crystal structure of Cr2TeC, with properties calculated at the PBE level.

As for the raw formation energy: 0.39 eV per atom. The density of states at the Fermi level comes out at 0.67 states/eV/atom. Its total energy is -120.2 eV per cell.

It has space group I-42d (No. 122), with a = 5.222 Å, b = 5.222 Å, c = 10.157 Å, α = 90.00°, β = 90.00° and γ = 90.00°. The distinct sites, in fractional coordinates, are Cr at (0.137, 0.250, 0.125), Te at (0.000, 0.000, 0.500) and C at (0.000, 0.000, 0.000).


(3)
Below is an optimized crystal structure of TbTmAlPd, with properties calculated at the PBE level.

Its offset from the most stable computed form is 14.7 kJ/mol of formula units. The density of states at the Fermi level comes out at 0.81 states/eV/atom. Its total energy is -81.5 eV per cell. The calculation puts the calculated formation energy at -587 meV per atom.

It has space group F-43m (No. 216), with a = 7.119 Å, b = 7.119 Å, c = 7.119 Å, α = 90.00°, β = 90.00° and γ = 90.00°. The distinct sites, in fractional coordinates, are Tb at (0.000, 0.000, 0.000), Tm at (0.000, 0.000, 0.500), Al at (0.250, 0.250, 0.750) and Pd at (0.250, 0.250, 0.250).


(4)
Below is an optimized crystal structure of MoPt2Se, with properties calculated at the PBE level.

As for the raw formation energy: 0.01 eV per atom. The density of states at the Fermi level comes out at 0.58 states/eV/atom. Its total energy is -52.7 eV per cell.

It has space group Cm (No. 8), with a = 8.881 Å, b = 2.840 Å, c = 6.602 Å, α = 90.00°, β = 94.72° and γ = 90.00°. The distinct sites, in fractional coordinates, are Mo at (0.000, 0.000, 0.000), Pt at (0.034, 0.500, 0.659), Pt at (0.270, 0.000, 0.857) and Se at (0.106, 0.500, 0.301).